1.
Here is an optimized crystal structure of Ti5Al2Tc2W from Alexandria. Energies are from PBE.

Computed properties:
V: 16.445 Å³/atom
ΔH_f (0 K): -0.0695 eV per atom
DOS(E_F): 14.12 states/eV per cell
Total DFT energy (no corrections): -8.13 eV per atom
Size of the total moment: 0.000 μB per formula unit

abc: 8.9823 8.9823 4.0765
angles: 90.00 90.00 90.00
Space group P4/mbm (No. 127)
One atom of each set of equivalent atoms:
Ti 0.0000 0.5000 0.0000 x2
Ti 0.0866 0.1960 0.0000 x8
Al 0.1712 0.6712 0.5000 x4
Tc 0.1238 0.3762 0.5000 x4
W 0.0000 0.0000 0.5000 x2


2.
Here is an optimized crystal structure of YTiAl2Tc from Alexandria. Energies are from PBE.

Computed properties:
V: 22.411 Å³/atom
ΔH_f (0 K): 1.2932 eV per atom
DOS(E_F): 10.27 states/eV per cell
Total DFT energy (no corrections): -5.15 eV per atom
Size of the total moment: 0.140 μB per formula unit

abc: 4.8071 4.8071 4.8492
angles: 90.00 90.00 90.00
Space group P4/mmm (No. 123)
One atom of each set of equivalent atoms:
Y 0.0000 0.0000 0.0000 x1
Ti 0.0000 0.0000 0.5000 x1
Al 0.0000 0.5000 0.5000 x2
Tc 0.5000 0.5000 0.0000 x1


3.
Here is an optimized crystal structure of TiAlZnTc from Alexandria. Energies are from PBE.

Computed properties:
V: 15.133 Å³/atom
ΔH_f (0 K): -0.3476 eV per atom
DOS(E_F): 2.11 states/eV per cell
Total DFT energy (no corrections): -6.17 eV per atom
Size of the total moment: 0.000 μB per formula unit

abc: 3.2117 3.2117 5.8683
angles: 90.00 90.00 90.00
Space group P4mm (No. 99)
One atom of each set of equivalent atoms:
Ti 0.0000 0.0000 0.0000 x1
Al 0.0000 0.0000 0.5313 x1
Zn 0.5000 0.5000 0.2823 x1
Tc 0.5000 0.5000 0.7839 x1


4.
Here is an optimized crystal structure of TiAlZnTc from Alexandria. Energies are from PBE.

Computed properties:
V: 14.724 Å³/atom
ΔH_f (0 K): -0.2971 eV per atom
DOS(E_F): 7.99 states/eV per cell
Total DFT energy (no corrections): -6.12 eV per atom
Size of the total moment: 0.000 μB per formula unit

abc: 6.1761 6.1761 6.1761
angles: 90.00 90.00 90.00
Space group F-43m (No. 216)
One atom of each set of equivalent atoms:
Ti 0.0000 0.0000 0.0000 x4
Al 0.0000 0.0000 0.5000 x4
Zn 0.2500 0.2500 0.7500 x4
Tc 0.2500 0.2500 0.2500 x4


5.
Here is an optimized crystal structure of Al2TlTc from Alexandria. Energies are from PBE.

Computed properties:
V: 17.171 Å³/atom
ΔH_f (0 K): 0.2049 eV per atom
DOS(E_F): 4.02 states/eV per cell
Total DFT energy (no corrections): -4.85 eV per atom
Size of the total moment: 0.000 μB per formula unit

abc: 3.5286 4.5182 8.6162
angles: 90.00 90.00 90.00
Space group Immm (No. 71)
One atom of each set of equivalent atoms:
Al 0.0000 0.0000 0.2332 x4
Tl 0.0000 0.5000 0.0000 x2
Tc 0.0000 0.5000 0.5000 x2


6.
Here is an optimized crystal structure of Al2TlTc from Alexandria. Energies are from PBE.

Computed properties:
V: 17.448 Å³/atom
ΔH_f (0 K): 0.1079 eV per atom
DOS(E_F): 0.93 states/eV per cell
Total DFT energy (no corrections): -4.95 eV per atom
Size of the total moment: 0.000 μB per formula unit

abc: 3.4696 3.4696 5.7975
angles: 90.00 90.00 90.00
Space group P4mm (No. 99)
One atom of each set of equivalent atoms:
Al 0.0000 0.0000 0.0000 x1
Al 0.5000 0.5000 0.2519 x1
Tl 0.5000 0.5000 0.7300 x1
Tc 0.0000 0.0000 0.4286 x1


7.
Here is an optimized crystal structure of Al2TlTc from Alexandria. Energies are from PBE.

Computed properties:
V: 18.592 Å³/atom
ΔH_f (0 K): 0.2905 eV per atom
DOS(E_F): 3.13 states/eV per cell
Total DFT energy (no corrections): -4.76 eV per atom
Size of the total moment: 0.622 μB per formula unit

abc: 2.9574 2.9574 8.5029
angles: 90.00 90.00 90.00
Space group P4mm (No. 99)
One atom of each set of equivalent atoms:
Al 0.0000 0.0000 0.0000 x1
Al 0.5000 0.5000 0.2339 x1
Tl 0.5000 0.5000 0.6819 x1
Tc 0.0000 0.0000 0.4216 x1


8.
Here is an optimized crystal structure of Al2TlTc from Alexandria. Energies are from PBE.

Computed properties:
V: 17.575 Å³/atom
ΔH_f (0 K): 0.1835 eV per atom
DOS(E_F): 2.65 states/eV per cell
Total DFT energy (no corrections): -4.87 eV per atom
Size of the total moment: 0.000 μB per formula unit

abc: 9.1047 3.4514 4.7016
angles: 90.00 107.88 90.00
Space group C2/m (No. 12)
One atom of each set of equivalent atoms:
Al 0.2315 0.0000 0.1983 x4
Tl 0.0000 0.0000 0.5000 x2
Tc 0.0000 0.5000 0.0000 x2


9.
Here is an optimized crystal structure of Al2TlTc from Alexandria. Energies are from PBE.

Computed properties:
V: 17.434 Å³/atom
ΔH_f (0 K): 0.2144 eV per atom
DOS(E_F): 2.15 states/eV per cell
Total DFT energy (no corrections): -4.84 eV per atom
Size of the total moment: 0.645 μB per formula unit

abc: 3.0732 4.6335 4.8974
angles: 90.00 90.15 90.00
Space group Pm (No. 6)
One atom of each set of equivalent atoms:
Al 0.0000 0.0000 0.0000 x1
Al 0.4992 0.5000 0.8242 x1
Tl 0.9980 0.5000 0.3341 x1
Tc 0.4977 0.0000 0.5630 x1


10.
Here is an optimized crystal structure of AlTl2Tc from Alexandria. Energies are from PBE.

Computed properties:
V: 21.065 Å³/atom
ΔH_f (0 K): 0.7897 eV per atom
DOS(E_F): 11.61 states/eV per cell
Total DFT energy (no corrections): -3.92 eV per atom
Size of the total moment: 1.298 μB per formula unit

abc: 6.9592 6.9592 6.9592
angles: 90.00 90.00 90.00
Space group F-43m (No. 216)
One atom of each set of equivalent atoms:
Al 0.0000 0.0000 0.0000 x4
Tl 0.0000 0.0000 0.5000 x4
Tl 0.2500 0.2500 0.7500 x4
Tc 0.2500 0.2500 0.2500 x4


11.
Here is an optimized crystal structure of AlTl2Tc from Alexandria. Energies are from PBE.

Computed properties:
V: 21.847 Å³/atom
ΔH_f (0 K): 0.2619 eV per atom
DOS(E_F): 3.25 states/eV per cell
Total DFT energy (no corrections): -4.45 eV per atom
Size of the total moment: 0.282 μB per formula unit

abc: 3.2781 3.2781 8.1321
angles: 90.00 90.00 90.00
Space group P4mm (No. 99)
One atom of each set of equivalent atoms:
Al 0.0000 0.0000 0.0000 x1
Tl 0.0000 0.0000 0.3681 x1
Tl 0.5000 0.5000 0.7082 x1
Tc 0.5000 0.5000 0.1346 x1


12.
Here is an optimized crystal structure of AlTl2Tc from Alexandria. Energies are from PBE.

Computed properties:
V: 20.589 Å³/atom
ΔH_f (0 K): 0.6480 eV per atom
DOS(E_F): 2.83 states/eV per cell
Total DFT energy (no corrections): -4.06 eV per atom
Size of the total moment: 1.165 μB per formula unit

abc: 3.1709 4.9834 5.2118
angles: 90.00 90.00 90.00
Space group Pmmm (No. 47)
One atom of each set of equivalent atoms:
Al 0.0000 0.0000 0.0000 x1
Tl 0.0000 0.5000 0.5000 x1
Tl 0.5000 0.5000 0.0000 x1
Tc 0.5000 0.0000 0.5000 x1